Entry 1:
DFT (GGA-PBE) results for a relaxed Mg2IrPdO6 crystal.

POSCAR file:
```
Mg2IrPdO6
1.0
5.5437 0.0000 0.0000
0.0000 5.5437 0.0000
0.0000 0.0000 4.3853
Mg Ir Pd O
2 1 1 6
Cartesian
0.0000 2.7719 0.0000 Mg
2.7719 0.0000 0.0000 Mg
0.0000 0.0000 3.0790 Ir
2.7719 2.7719 3.1525 Pd
0.0000 0.0000 1.2761 O
1.3187 1.3187 3.6693 O
1.3187 4.2250 3.6693 O
2.7719 2.7719 1.1144 O
4.2250 1.3187 3.6693 O
4.2250 4.2250 3.6693 O
```

Summary:
Electronic total energy   -5.7145 eV per atom
Crystal system   tetragonal
Space group   No. 99

=====

Entry 2:
DFT (GGA-PBE) results for a relaxed KTe8Pd4 crystal.

POSCAR file:
```
KTe8Pd4
1.0
6.9912 -4.0368 0.0000
6.9912 4.0368 0.0000
-4.6055 0.0000 8.5105
K Te Pd
1 8 4
Cartesian
0.0000 0.0000 0.0000 K
3.5103 2.0390 5.6477 Te
0.0274 0.0000 5.6445 Te
2.3309 0.0000 2.8595 Te
5.8666 2.0390 2.8628 Te
3.5103 -2.0390 5.6477 Te
7.0459 0.0000 5.6510 Te
9.3495 0.0000 2.8661 Te
5.8666 -2.0390 2.8628 Te
-2.3027 0.0000 4.2553 Pd
1.1929 2.0184 4.2553 Pd
1.1929 -2.0184 4.2553 Pd
4.6884 0.0000 4.2553 Pd
```

Summary:
Electronic total energy   -3.9572 eV per atom
Crystal system   monoclinic
Space group   No. 12

=====

Entry 3:
DFT (GGA-PBE) results for a relaxed TaCrAu2 crystal.

POSCAR file:
```
TaCrAu2
1.0
2.9226 0.0000 0.0000
0.0000 2.9226 0.0000
0.0000 0.0000 8.0097
Ta Cr Au
1 1 2
Cartesian
0.0000 0.0000 0.0000 Ta
1.4613 1.4613 6.1524 Cr
0.0000 0.0000 4.2653 Au
1.4613 1.4613 2.0610 Au
```

Summary:
ΔE_f   0.09 eV per atom
Excess energy over the best structure of this formula in the dataset   8.5 meV per atom
Crystal system   tetragonal
Space group   No. 99

=====

Entry 4:
DFT (GGA-PBE) results for a relaxed BaNa2CuBi crystal.

POSCAR file:
```
BaNa2CuBi
1.0
5.9848 0.0000 0.0000
0.0000 5.9848 0.0000
0.0000 0.0000 5.2150
Ba Na Cu Bi
1 2 1 1
Cartesian
0.0000 0.0000 0.0000 Ba
0.0000 2.9924 2.6075 Na
2.9924 0.0000 2.6075 Na
2.9924 2.9924 0.0000 Cu
2.9924 2.9924 2.6075 Bi
```

Summary:
ΔE_f   0.08 eV per atom
Crystal system   tetragonal
Space group   No. 123

=====

Entry 5:
DFT (GGA-PBE) results for a relaxed Y2NiPd crystal.

POSCAR file:
```
Y2NiPd
1.0
5.5650 0.0000 0.0000
0.0000 4.3465 0.0000
-2.6344 0.0000 7.1432
Y Ni Pd
4 2 2
Cartesian
0.0646 1.0866 3.0974 Y
-1.1890 1.0866 6.6212 Y
4.1196 3.2599 0.5220 Y
2.8659 3.2599 4.0458 Y
0.0447 3.2599 5.0706 Ni
2.8859 1.0866 2.0726 Ni
1.3378 3.2599 1.5127 Pd
1.5928 1.0866 5.6305 Pd
```

Summary:
ΔE_f   -0.65 eV per atom
Crystal system   monoclinic
Space group   No. 11

=====

Entry 6:
DFT (GGA-PBE) results for a relaxed H4PbI3N crystal.

POSCAR file:
```
H4PbI3N
1.0
4.7374 0.0000 0.0000
-2.2482 7.9629 0.0000
-0.1124 -0.4135 12.1075
H Pb I N
8 2 6 2
Cartesian
0.0000 0.0000 0.0000 H
-0.2227 1.2983 1.0623 H
0.8962 0.0599 1.4520 H
1.2154 1.1788 0.2300 H
2.2943 -0.0400 5.7837 H
2.2316 0.7384 7.2985 H
1.1729 7.5135 6.9525 H
3.4906 1.0660 6.1949 H
2.7300 4.4921 3.7902 Pb
2.9232 4.1435 9.7976 Pb
0.2869 2.3272 4.3863 I
0.6625 1.9769 9.0671 I
0.2678 6.7048 3.1622 I
0.6689 6.2886 10.5269 I
2.8702 3.3399 0.7109 I
2.8706 5.5208 6.8365 I
0.4725 0.6207 0.6881 N
2.8533 0.3359 6.5685 N
```

Summary:
Excess energy over the best structure of this formula in the dataset   7.3 meV per atom
Crystal system   triclinic
Space group   No. 1

=====

| no. | Fermi-level density of states (states/eV per atom) |
| --- | --- |
| 1 | 0.22 |
| 2 | 0.48 |
| 3 | 0.65 |
| 4 | 0.84 |
| 5 | 0.77 |
| 6 | 0.00 |